DFT (PBE-GGA) results for a relaxed structure of RbZnAg2.

Calculated values
Uncorrected energy (eV per atom): -1.8787
Fermi-level density of states (states/eV per atom): 0.39
Theoretical density (g cm⁻³): 4.5
Space group: I4_1/amd, No. 141

Cell: 5.473 5.473 9.736 Å, 73.68 73.68 90.00°
Atoms (fractional coordinates):
Rb 0.750 0.250 0.500
Rb 0.000 0.000 0.000
Ag 0.375 0.625 0.250
Ag 0.375 0.125 0.250
Ag 0.875 0.625 0.750
Ag 0.375 0.625 0.750
Zn 0.500 0.500 0.000
Zn 0.250 0.750 0.500